(1)
First-principles (PBE) data for a relaxed structure of ThPbSe2, as listed in the Alexandria database.

Lattice parameters (Å, degrees): 4.1127 4.1127 28.7566 90.00 90.00 120.00
Space group R-3m (No. 166, hexagonal axes)
Asymmetric unit:
Th 0.0000 0.0000 0.0000
Pb 0.0000 0.0000 0.5000
Se 0.0000 0.0000 0.3932

Calculated values
Its total energy is -5.561 eV per atom. For the density of states at the Fermi level, the calculation gives 3.1 states/eV/f.u. The raw formation energy comes out at -1036 meV per atom.

(2)
First-principles (PBE) data for a relaxed structure of Th4PbSe3, as listed in the Alexandria database.

Lattice parameters (Å, degrees): 4.364 6.102 8.509 90.00 90.00 90.00
Space group Pmmm (No. 47)
Asymmetric unit:
Th 0.000 0.000 0.000
Th 0.000 0.000 0.500
Th 0.500 0.500 0.230
Pb 0.000 0.500 0.500
Se 0.000 0.500 0.000
Se 0.500 0.000 0.250

Calculated values
Its total energy is -6.665 eV per atom. For the density of states at the Fermi level, the calculation gives 4.7 states/eV/f.u. The raw formation energy comes out at -1185 meV per atom.

(3)
First-principles (PBE) data for a relaxed structure of ThPbSe, as listed in the Alexandria database.

Lattice parameters (Å, degrees): 3.836 3.836 11.959 90.00 90.00 90.00
Space group I4mm (No. 107)
Asymmetric unit:
Th 0.000 0.000 0.000
Pb 0.000 0.000 0.298
Se 0.000 0.000 0.600

Calculated values
Its total energy is -5.671 eV per atom. For the density of states at the Fermi level, the calculation gives 1.7 states/eV/f.u. The raw formation energy comes out at -800 meV per atom.

(4)
First-principles (PBE) data for a relaxed structure of Th2PbSe, as listed in the Alexandria database.

Lattice parameters (Å, degrees): 4.4445 4.4445 21.1571 90.00 90.00 120.00
Space group R-3m (No. 166, hexagonal axes)
Asymmetric unit:
Th 0.0000 0.0000 0.2413
Pb 0.0000 0.0000 0.0000
Se 0.0000 0.0000 0.5000

Calculated values
Its total energy is -6.397 eV per atom. For the density of states at the Fermi level, the calculation gives 2.2 states/eV/f.u. The raw formation energy comes out at -889 meV per atom.

(5)
First-principles (PBE) data for a relaxed structure of Th3Pb2Se8, as listed in the Alexandria database.

Lattice parameters (Å, degrees): 14.994 8.675 7.386 90.00 108.97 90.00
Space group C2/m (No. 12)
Asymmetric unit:
Th 0.000 0.000 0.000
Th 0.000 0.262 0.500
Pb 0.245 0.500 0.165
Se 0.110 0.000 0.409
Se 0.113 0.500 0.427
Se 0.118 0.231 0.902

Calculated values
Its total energy is -5.739 eV per atom. For the density of states at the Fermi level, the calculation gives 0.0 states/eV/f.u. The raw formation energy comes out at -1312 meV per atom.

(6)
First-principles (PBE) data for a relaxed structure of ThPb3Se6, as listed in the Alexandria database.

Lattice parameters (Å, degrees): 12.144 4.302 12.795 90.00 104.39 90.00
Space group P2_1/m (No. 11)
Asymmetric unit:
Th 0.026 0.250 0.165
Pb 0.166 0.250 0.591
Pb 0.345 0.750 0.978
Pb 0.451 0.250 0.342
Se 0.092 0.750 0.339
Se 0.111 0.250 0.962
Se 0.180 0.750 0.740
Se 0.211 0.750 0.214
Se 0.393 0.250 0.576
Se 0.463 0.250 0.116

Calculated values
Its total energy is -4.766 eV per atom. The raw formation energy comes out at -820 meV per atom.